DFT (PBE) results for DyScAl2Pt4 after structural relaxation.

a b c (Å): 4.301 4.301 9.059
angles (deg): 90.00 90.00 120.00
Atoms (fractional coordinates):
Dy (0.000, 0.000, 0.000)
Sc (0.333, 0.667, 0.500)
Al (0.667, 0.333, 0.257)
Al (0.667, 0.333, 0.743)
Pt (0.000, 0.000, 0.345)
Pt (0.000, 0.000, 0.655)
Pt (0.333, 0.667, 0.172)
Pt (0.333, 0.667, 0.828)

Values from the calculation:
Total energy in eV/atom: -6.506
Total magnetization in μB/f.u.: 0.001